Material: CaY2H2
Method: DFT, PBEsol
State: optimized geometry

Results
uncorrected energy: -4.511 eV/atom

```
10
Lattice="7.037 0.000 0.000 0.000 7.037 0.000 0.000 0.000 4.315" Properties=species:S:1:pos:R:3 pbc="T T T"
Ca 0.000 0.000 0.000
Ca 3.518 3.518 0.000
Y 1.177 2.341 2.157
Y 2.341 5.860 2.157
Y 4.695 1.177 2.157
Y 5.860 4.695 2.157
H 1.396 2.122 0.000
H 2.122 5.640 0.000
H 4.915 1.396 0.000
H 5.640 4.915 0.000
```

***

Material: Y2TlCr
Method: DFT, PBEsol
State: optimized geometry

Results
ΔE_f: 0.041 eV/atom
E above lowest polymorph: 17 meV/atom

```
16
Lattice="7.304 0.000 0.000 0.000 7.304 0.000 0.000 0.000 7.304" Properties=species:S:1:pos:R:3 pbc="T T T"
Y 1.826 1.826 1.826
Y 1.826 1.826 5.478
Y 1.826 5.478 1.826
Y 1.826 5.478 5.478
Y 5.478 1.826 1.826
Y 5.478 1.826 5.478
Y 5.478 5.478 1.826
Y 5.478 5.478 5.478
Tl 0.000 0.000 0.000
Tl 0.000 3.652 3.652
Tl 3.652 0.000 3.652
Tl 3.652 3.652 0.000
Cr 0.000 0.000 3.652
Cr 0.000 3.652 0.000
Cr 3.652 0.000 0.000
Cr 3.652 3.652 3.652
```

***

> What is the formula in the second record?

Y2TlCr

***

Please write out number 2 again, unchanged.
Material: Y2TlCr
Method: DFT, PBEsol
State: optimized geometry

Results
ΔE_f: 0.041 eV/atom
E above lowest polymorph: 17 meV/atom

```
16
Lattice="7.304 0.000 0.000 0.000 7.304 0.000 0.000 0.000 7.304" Properties=species:S:1:pos:R:3 pbc="T T T"
Y 1.826 1.826 1.826
Y 1.826 1.826 5.478
Y 1.826 5.478 1.826
Y 1.826 5.478 5.478
Y 5.478 1.826 1.826
Y 5.478 1.826 5.478
Y 5.478 5.478 1.826
Y 5.478 5.478 5.478
Tl 0.000 0.000 0.000
Tl 0.000 3.652 3.652
Tl 3.652 0.000 3.652
Tl 3.652 3.652 0.000
Cr 0.000 0.000 3.652
Cr 0.000 3.652 0.000
Cr 3.652 0.000 0.000
Cr 3.652 3.652 3.652
```

***

> Number 1 is which compound?

CaY2H2